No. 1
{"formula": "BaTl2Au", "functional": "PBE-GGA", "state": "optimized geometry", "e_form_ev_per_atom": -0.340, "dft_energy_ev_per_atom": -2.823, "lattice_angstrom": [[5.926, -2.071, 0.000], [5.926, 2.071, 0.000], [-2.897, 0.000, 5.108]], "species": ["Ba", "Tl", "Tl", "Au"], "fractional_positions": [[0.000, 0.000, 0.000], [0.210, 0.210, 0.709], [0.790, 0.790, 0.291], [0.500, 0.500, 0.500]]}


No. 2
{"formula": "BaTl2Au", "functional": "PBE-GGA", "state": "optimized geometry", "e_form_ev_per_atom": -0.324, "dft_energy_ev_per_atom": -2.807, "lattice_angstrom": [[0.000, 3.914, 4.004], [3.871, 0.000, 4.004], [3.871, 3.914, 0.000]], "species": ["Ba", "Tl", "Tl", "Au"], "fractional_positions": [[0.000, 0.000, 0.000], [0.250, 0.250, 0.250], [0.500, 0.500, 0.500], [0.750, 0.750, 0.750]]}


No. 3
{"formula": "Ba3Tl2Au", "functional": "PBE-GGA", "state": "optimized geometry", "e_form_ev_per_atom": -0.493, "dft_energy_ev_per_atom": -2.790, "lattice_angstrom": [[4.222, 0.000, 0.000], [0.000, 4.222, 0.000], [0.000, 0.000, 12.510]], "species": ["Ba", "Ba", "Ba", "Tl", "Tl", "Au"], "fractional_positions": [[0.000, 0.000, 0.000], [0.000, 0.000, 0.344], [0.000, 0.000, 0.656], [0.500, 0.500, 0.167], [0.500, 0.500, 0.833], [0.500, 0.500, 0.500]]}


No. 4
{"formula": "Ba4TlAu", "functional": "PBE-GGA", "state": "optimized geometry", "e_form_ev_per_atom": -0.381, "dft_energy_ev_per_atom": -2.603, "lattice_angstrom": [[4.200, 0.000, 0.000], [0.000, 4.200, 0.000], [0.000, 0.000, 15.403]], "species": ["Ba", "Ba", "Ba", "Ba", "Tl", "Au"], "fractional_positions": [[0.000, 0.000, 0.121], [0.000, 0.000, 0.879], [0.500, 0.500, 0.364], [0.500, 0.500, 0.636], [0.000, 0.000, 0.500], [0.500, 0.500, 0.000]]}


No. 5
{"formula": "Ba5TlAu2", "functional": "PBE-GGA", "state": "optimized geometry", "e_form_ev_per_atom": -0.494, "dft_energy_ev_per_atom": -2.811, "lattice_angstrom": [[-4.535, 4.535, 8.059], [4.535, -4.535, 8.059], [4.535, 4.535, -8.059]], "species": ["Ba", "Ba", "Ba", "Ba", "Ba", "Ba", "Ba", "Ba", "Ba", "Ba", "Tl", "Tl", "Au", "Au", "Au", "Au"], "fractional_positions": [[0.000, 0.000, 0.000], [0.030, 0.530, 0.837], [0.194, 0.030, 0.500], [0.306, 0.806, 0.837], [0.470, 0.306, 0.500], [0.500, 0.500, 0.000], [0.530, 0.694, 0.500], [0.694, 0.194, 0.163], [0.806, 0.970, 0.500], [0.970, 0.470, 0.163], [0.250, 0.250, 0.000], [0.750, 0.750, 0.000], [0.125, 0.375, 0.500], [0.375, 0.875, 0.249], [0.625, 0.125, 0.751], [0.875, 0.625, 0.500]]}


No. 6
{"formula": "BaTl2Au", "functional": "PBE-GGA", "state": "optimized geometry", "e_form_ev_per_atom": -0.329, "dft_energy_ev_per_atom": -2.812, "lattice_angstrom": [[5.029, 0.000, 0.000], [0.000, 5.025, 0.000], [-1.517, 0.000, 5.253]], "species": ["Ba", "Tl", "Tl", "Au"], "fractional_positions": [[0.000, 0.000, 0.000], [0.321, 0.500, 0.697], [0.679, 0.500, 0.303], [0.500, 0.000, 0.500]]}


No. 7
{"formula": "BaTl2Au", "functional": "PBE-GGA", "state": "optimized geometry", "e_form_ev_per_atom": -0.254, "dft_energy_ev_per_atom": -2.737, "lattice_angstrom": [[-2.324, 2.324, 6.117], [2.324, -2.324, 6.117], [2.324, 2.324, -6.117]], "species": ["Ba", "Tl", "Tl", "Au"], "fractional_positions": [[0.000, 0.000, 0.000], [0.250, 0.750, 0.500], [0.750, 0.250, 0.500], [0.500, 0.500, 0.000]]}


No. 8
{"formula": "Ba4TlAu3", "functional": "PBE-GGA", "state": "optimized geometry", "e_form_ev_per_atom": -0.613, "dft_energy_ev_per_atom": -3.100, "lattice_angstrom": [[4.510, 0.000, 0.000], [0.000, 5.173, 0.000], [0.000, 0.000, 12.495]], "species": ["Ba", "Ba", "Ba", "Ba", "Tl", "Au", "Au", "Au"], "fractional_positions": [[0.000, 0.000, 0.000], [0.000, 0.500, 0.258], [0.500, 0.000, 0.478], [0.500, 0.500, 0.767], [0.000, 0.000, 0.700], [0.000, 0.500, 0.545], [0.500, 0.000, 0.206], [0.500, 0.500, 0.049]]}


No. 9
{"formula": "Ba3TlAu", "functional": "PBE-GGA", "state": "optimized geometry", "e_form_ev_per_atom": -0.272, "dft_energy_ev_per_atom": -2.554, "lattice_angstrom": [[6.347, 0.000, 0.000], [0.000, 6.347, 0.000], [0.000, 0.000, 6.347]], "species": ["Ba", "Ba", "Ba", "Tl", "Au"], "fractional_positions": [[0.000, 0.000, 0.500], [0.000, 0.500, 0.000], [0.500, 0.000, 0.000], [0.500, 0.500, 0.500], [0.000, 0.000, 0.000]]}


No. 10
{"formula": "Ba12TlAu5", "functional": "PBE-GGA", "state": "optimized geometry", "e_form_ev_per_atom": -0.455, "dft_energy_ev_per_atom": -2.778, "lattice_angstrom": [[-5.415, 5.821, 6.055], [5.415, -5.821, 6.055], [5.415, 5.821, -6.055]], "species": ["Ba", "Ba", "Ba", "Ba", "Ba", "Ba", "Ba", "Ba", "Ba", "Ba", "Ba", "Ba", "Tl", "Au", "Au", "Au", "Au", "Au"], "fractional_positions": [[0.057, 0.243, 0.815], [0.171, 0.273, 0.444], [0.171, 0.727, 0.898], [0.337, 0.027, 0.690], [0.337, 0.646, 0.310], [0.428, 0.243, 0.185], [0.572, 0.757, 0.815], [0.663, 0.354, 0.690], [0.663, 0.973, 0.310], [0.829, 0.273, 0.102], [0.829, 0.727, 0.556], [0.943, 0.757, 0.185], [0.500, 0.500, 0.000], [0.000, 0.000, 0.000], [0.122, 0.622, 0.500], [0.333, 0.000, 0.333], [0.667, 0.000, 0.667], [0.878, 0.378, 0.500]]}


No. 11
{"formula": "Ba2TlAu", "functional": "PBE-GGA", "state": "optimized geometry", "e_form_ev_per_atom": -0.427, "dft_energy_ev_per_atom": -2.800, "lattice_angstrom": [[-2.053, 2.787, 6.311], [2.053, -2.787, 6.311], [2.053, 2.787, -6.311]], "species": ["Ba", "Ba", "Tl", "Au"], "fractional_positions": [[0.000, 0.000, 0.000], [0.701, 0.201, 0.500], [0.292, 0.792, 0.500], [0.476, 0.476, 0.000]]}


No. 12
{"formula": "BaTlAu", "functional": "PBE-GGA", "state": "optimized geometry", "e_form_ev_per_atom": -0.531, "dft_energy_ev_per_atom": -3.054, "lattice_angstrom": [[5.836, -2.411, 0.000], [5.836, 2.411, 0.000], [-4.596, 0.000, 6.762]], "species": ["Ba", "Ba", "Tl", "Tl", "Au", "Au"], "fractional_positions": [[0.062, 0.062, 0.312], [0.938, 0.938, 0.688], [0.314, 0.314, 0.904], [0.686, 0.686, 0.096], [0.359, 0.359, 0.321], [0.641, 0.641, 0.679]]}


No. 13
{"formula": "BaTl2Au", "functional": "PBE-GGA", "state": "optimized geometry", "e_form_ev_per_atom": -0.289, "dft_energy_ev_per_atom": -2.772, "lattice_angstrom": [[4.113, 0.000, 0.000], [0.000, 4.113, 0.000], [0.000, 0.000, 7.502]], "species": ["Ba", "Tl", "Tl", "Au"], "fractional_positions": [[0.000, 0.000, 0.000], [0.000, 0.000, 0.535], [0.500, 0.500, 0.319], [0.500, 0.500, 0.764]]}


No. 14
{"formula": "BaTl2Au", "functional": "PBE-GGA", "state": "optimized geometry", "e_form_ev_per_atom": -0.256, "dft_energy_ev_per_atom": -2.740, "lattice_angstrom": [[-2.362, 2.362, 12.116], [2.362, -2.362, 12.116], [2.362, 2.362, -12.116]], "species": ["Ba", "Ba", "Tl", "Tl", "Tl", "Tl", "Au", "Au"], "fractional_positions": [[0.000, 0.000, 0.000], [0.750, 0.250, 0.500], [0.161, 0.625, 0.036], [0.375, 0.411, 0.536], [0.589, 0.125, 0.964], [0.875, 0.839, 0.464], [0.250, 0.750, 0.500], [0.500, 0.500, 0.000]]}


No. 15
{"formula": "Ba2TlAu", "functional": "PBE-GGA", "state": "optimized geometry", "e_form_ev_per_atom": -0.484, "dft_energy_ev_per_atom": -2.856, "lattice_angstrom": [[0.000, 4.167, 4.167], [4.167, 0.000, 4.167], [4.167, 4.167, 0.000]], "species": ["Ba", "Ba", "Tl", "Au"], "fractional_positions": [[0.250, 0.250, 0.250], [0.750, 0.750, 0.750], [0.000, 0.000, 0.000], [0.500, 0.500, 0.500]]}


No. 16
{"formula": "Ba2Tl2Au", "functional": "PBE-GGA", "state": "optimized geometry", "e_form_ev_per_atom": -0.178, "dft_energy_ev_per_atom": -2.549, "lattice_angstrom": [[-3.419, 3.419, 4.326], [3.419, -3.419, 4.326], [3.419, 3.419, -4.326]], "species": ["Ba", "Ba", "Tl", "Tl", "Au"], "fractional_positions": [[0.250, 0.750, 0.500], [0.750, 0.250, 0.500], [0.163, 0.163, 0.000], [0.837, 0.837, 0.000], [0.500, 0.500, 0.000]]}


No. 17
{"formula": "Ba8TlAu2", "functional": "PBE-GGA", "state": "optimized geometry", "e_form_ev_per_atom": -0.294, "dft_energy_ev_per_atom": -2.503, "lattice_angstrom": [[5.344, -7.615, 0.000], [5.344, 7.615, 0.000], [-1.513, 0.000, 6.291]], "species": ["Ba", "Ba", "Ba", "Ba", "Ba", "Ba", "Ba", "Ba", "Tl", "Au", "Au"], "fractional_positions": [[0.059, 0.324, 0.594], [0.245, 0.755, 0.000], [0.324, 0.059, 0.594], [0.369, 0.369, 0.203], [0.631, 0.631, 0.797], [0.676, 0.941, 0.406], [0.755, 0.245, 0.000], [0.941, 0.676, 0.406], [0.000, 0.000, 0.000], [0.317, 0.683, 0.500], [0.683, 0.317, 0.500]]}


No. 18
{"formula": "Ba2TlAu", "functional": "PBE-GGA", "state": "optimized geometry", "e_form_ev_per_atom": -0.339, "dft_energy_ev_per_atom": -2.711, "lattice_angstrom": [[-2.488, 2.488, 5.710], [2.488, -2.488, 5.710], [2.488, 2.488, -5.710]], "species": ["Ba", "Ba", "Tl", "Au"], "fractional_positions": [[0.000, 0.000, 0.000], [0.750, 0.250, 0.500], [0.250, 0.750, 0.500], [0.500, 0.500, 0.000]]}


No. 19
{"formula": "Ba3Tl2Au4", "functional": "PBE-GGA", "state": "optimized geometry", "e_form_ev_per_atom": -0.577, "dft_energy_ev_per_atom": -3.200, "lattice_angstrom": [[6.432, -2.397, 0.000], [6.432, 2.397, 0.000], [-4.037, 0.000, 9.084]], "species": ["Ba", "Ba", "Ba", "Tl", "Tl", "Au", "Au", "Au", "Au"], "fractional_positions": [[0.000, 0.000, 0.000], [0.363, 0.363, 0.305], [0.637, 0.637, 0.695], [0.337, 0.337, 0.666], [0.663, 0.663, 0.334], [0.077, 0.077, 0.421], [0.283, 0.283, 0.941], [0.717, 0.717, 0.059], [0.923, 0.923, 0.579]]}


No. 20
{"formula": "BaTlAu", "functional": "PBE-GGA", "state": "optimized geometry", "e_form_ev_per_atom": -0.415, "dft_energy_ev_per_atom": -2.937, "lattice_angstrom": [[0.000, 3.771, 3.771], [3.771, 0.000, 3.771], [3.771, 3.771, 0.000]], "species": ["Ba", "Tl", "Au"], "fractional_positions": [[0.000, 0.000, 0.000], [0.500, 0.500, 0.500], [0.750, 0.750, 0.750]]}